Computed, not measured: a relaxed structure of Ce12CoPb6 at the GGA-PBE level of DFT.

Cell: 8.0877 8.0877 8.0877 Å, 90.63 90.63 90.63°
Fractional positions:
Ce (0.0081, 0.9114, 0.2674)
Ce (0.0886, 0.7326, 0.9919)
Ce (0.1619, 0.4408, 0.3599)
Ce (0.2674, 0.0081, 0.9114)
Ce (0.3599, 0.1619, 0.4408)
Ce (0.4408, 0.3599, 0.1619)
Ce (0.5592, 0.6401, 0.8381)
Ce (0.6401, 0.8381, 0.5592)
Ce (0.7326, 0.9919, 0.0886)
Ce (0.8381, 0.5592, 0.6401)
Ce (0.9114, 0.2674, 0.0081)
Ce (0.9919, 0.0886, 0.7326)
Co (0.5000, 0.5000, 0.5000)
Pb (0.2178, 0.7738, 0.5934)
Pb (0.2262, 0.4066, 0.7822)
Pb (0.4066, 0.7822, 0.2262)
Pb (0.5934, 0.2178, 0.7738)
Pb (0.7738, 0.5934, 0.2178)
Pb (0.7822, 0.2262, 0.4066)

Its space group is R-3. The theoretical density comes out at 9.4 Mg/m³. The total DFT energy (no corrections) comes out at -103.09 eV for the cell shown. For the total magnetization, the calculation gives 0.27 μB/atom. Its crystal system is trigonal.

Computed, not measured: a relaxed structure of Li2SiAgBi at the GGA-PBE level of DFT.

Cell: 4.7839 4.7839 5.4214 Å, 90.00 90.00 90.00°
Fractional positions:
Li (0.0000, 0.5000, 0.0000)
Li (0.5000, 0.0000, 0.0000)
Si (0.0000, 0.0000, 0.5000)
Ag (0.5000, 0.5000, 0.0000)
Bi (0.5000, 0.5000, 0.5000)

Its uncorrected formation energy is 0.403 eV per atom. Its space group is P4/mmm. The theoretical density comes out at 4.8 Mg/m³. The total DFT energy (no corrections) comes out at -13.97 eV for the cell shown. For the total magnetization, the calculation gives 0.00 μB/atom. Its crystal system is tetragonal.

Computed, not measured: a relaxed structure of LaNiGePt3 at the GGA-PBE level of DFT.

Cell: 6.6306 6.6306 5.7366 Å, 90.00 90.00 115.41°
Fractional positions:
La (0.2248, 0.7752, 0.7500)
La (0.7752, 0.2248, 0.2500)
Ni (0.4400, 0.5600, 0.7500)
Ni (0.5600, 0.4400, 0.2500)
Ge (0.1200, 0.8800, 0.2500)
Ge (0.8800, 0.1200, 0.7500)
Pt (0.2185, 0.2185, 0.0000)
Pt (0.2185, 0.2185, 0.5000)
Pt (0.3339, 0.6661, 0.2500)
Pt (0.6661, 0.3339, 0.7500)
Pt (0.7815, 0.7815, 0.0000)
Pt (0.7815, 0.7815, 0.5000)

Its space group is Cmcm. The theoretical density comes out at 12.5 Mg/m³. The total DFT energy (no corrections) comes out at -74.04 eV for the cell shown. For the total magnetization, the calculation gives 0.00 μB/atom. Its crystal system is orthorhombic.

- What is the theoretical density in the first record?
  9.4 Mg/m³